DFT (GGA-PBE) results for a relaxed AsSe2N crystal.

Structure (POSCAR):
```
AsSe2N
1.0
-3.130 3.130 3.969
3.130 -3.130 3.969
3.130 3.130 -3.969
As Se N
2 4 2
Direct
0.000 0.000 0.000
0.750 0.250 0.500
0.183 0.125 0.558
0.375 0.817 0.942
0.567 0.625 0.442
0.875 0.433 0.058
0.250 0.750 0.500
0.500 0.500 0.000
```

Values from the calculation:
Energy relative to the lowest polymorph listed for this composition ... 591 meV/atom
Magnetic moment ... 0.000 μB per formula unit
Total DFT energy (no corrections) ... -4.077 eV/atom
Crystal system ... tetragonal
Formation energy (no corrections) ... 87.7 kJ/mol of atoms

=====

DFT (GGA-PBE) results for a relaxed BeSi2Hg crystal.

Structure (POSCAR):
```
BeSi2Hg
1.0
-2.090 2.090 3.714
2.090 -2.090 3.714
2.090 2.090 -3.714
Be Si Hg
1 2 1
Direct
0.000 0.000 0.000
0.500 0.500 0.000
0.750 0.250 0.500
0.250 0.750 0.500
```

Values from the calculation:
Energy relative to the lowest polymorph listed for this composition ... 289 meV/atom
Magnetic moment ... 0.000 μB per formula unit
Total DFT energy (no corrections) ... -2.995 eV/atom
Crystal system ... tetragonal
Formation energy (no corrections) ... 69.9 kJ/mol of atoms

=====

DFT (GGA-PBE) results for a relaxed Y2Co3Ru crystal.

Structure (POSCAR):
```
Y2Co3Ru
1.0
4.454 -2.569 0.000
4.454 2.569 0.000
-2.960 0.000 4.211
Y Co Ru
2 3 1
Direct
0.125 0.125 0.376
0.875 0.875 0.624
0.000 0.500 0.000
0.500 0.000 0.000
0.500 0.500 0.000
0.500 0.500 0.500
```

Values from the calculation:
Magnetic moment ... 2.782 μB per formula unit
Total DFT energy (no corrections) ... -7.464 eV/atom
ΔH_f (0 K) ... -4.84 kcal/mol of atoms
Crystal system ... monoclinic

=====

DFT (GGA-PBE) results for a relaxed CdMo3 crystal.

Structure (POSCAR):
```
CdMo3
1.0
5.771 0.000 0.000
-2.885 4.998 0.000
0.000 0.000 9.319
Cd Mo
4 12
Direct
0.000 0.000 0.000
0.000 0.000 0.500
0.333 0.667 0.250
0.667 0.333 0.750
0.000 0.500 0.000
0.000 0.500 0.500
0.182 0.364 0.750
0.182 0.818 0.750
0.364 0.182 0.250
0.500 0.000 0.000
0.500 0.000 0.500
0.500 0.500 0.000
0.500 0.500 0.500
0.636 0.818 0.750
0.818 0.182 0.250
0.818 0.636 0.250
```

Values from the calculation:
Energy relative to the lowest polymorph listed for this composition ... 171 meV/atom
Magnetic moment ... 0.000 μB per formula unit
Total DFT energy (no corrections) ... -7.962 eV/atom
ΔH_f (0 K) ... 8.99 kcal/mol of atoms
Crystal system ... hexagonal

=====

DFT (GGA-PBE) results for a relaxed LaOs3S crystal.

Structure (POSCAR):
```
LaOs3S
1.0
4.500 0.000 0.000
0.000 4.500 0.000
0.000 0.000 4.500
La Os S
1 3 1
Direct
0.000 0.000 0.000
0.000 0.500 0.500
0.500 0.000 0.500
0.500 0.500 0.000
0.500 0.500 0.500
```

Values from the calculation:
Energy relative to the lowest polymorph listed for this composition ... 0 meV/atom
Magnetic moment ... 0.000 μB per formula unit
Total DFT energy (no corrections) ... -8.044 eV/atom
Crystal system ... cubic
Formation energy (no corrections) ... 48.7 kJ/mol of atoms

=====

DFT (GGA-PBE) results for a relaxed CoSnBi3 crystal.

Structure (POSCAR):
```
CoSnBi3
1.0
5.181 0.000 0.000
0.000 5.181 0.000
0.000 0.000 5.181
Co Sn Bi
1 1 3
Direct
0.000 0.000 0.000
0.500 0.500 0.500
0.000 0.000 0.500
0.000 0.500 0.000
0.500 0.000 0.000
```

Values from the calculation:
Energy relative to the lowest polymorph listed for this composition ... 0 meV/atom
Magnetic moment ... 0.000 μB per formula unit
Total DFT energy (no corrections) ... -4.193 eV/atom
ΔH_f (0 K) ... 8.25 kcal/mol of atoms
Crystal system ... cubic